Record 1
A relaxed Pa2CdNi6 crystal, computed with PBE-GGA.

Unit cell a=7.588 b=7.588 c=7.588 alpha=155.14 beta=126.78 gamma=59.60
Fractional positions:
Pa1 0.141 0.141 0.000
Pa2 0.859 0.859 0.000
Cd1 0.500 0.000 0.500
Ni1 0.135 0.323 0.813
Ni2 0.182 0.500 0.682
Ni3 0.490 0.677 0.813
Ni4 0.510 0.323 0.187
Ni5 0.818 0.500 0.318
Ni6 0.865 0.677 0.187

The space-group type is Immm. As for the calculated volume: 16.245 Å³/atom. The energy of formation from the pure elements comes out at -91.4 meV/atom. As for the calculated total energy: -6.16 eV per atom. Its total moment is 0.0 μB/f.u.

=====

Record 2
A relaxed PaCdNi6 crystal, computed with PBE-GGA.

Unit cell a=4.802 b=4.802 c=4.802 alpha=90.00 beta=90.00 gamma=90.00
Fractional positions:
Pa1 0.000 0.000 0.000
Cd1 0.500 0.500 0.500
Ni1 0.000 0.500 0.251
Ni2 0.000 0.500 0.749
Ni3 0.251 0.000 0.500
Ni4 0.500 0.251 0.000
Ni5 0.500 0.749 0.000
Ni6 0.749 0.000 0.500

The space-group type is Pm-3. As for the calculated volume: 13.841 Å³/atom. The energy of formation from the pure elements comes out at -91.1 meV/atom. As for the calculated total energy: -5.73 eV per atom. Its total moment is 0.0 μB/f.u.

=====

Record 3
A relaxed PaCdNiPd crystal, computed with PBE-GGA.

Unit cell a=4.746 b=4.746 c=4.746 alpha=60.00 beta=60.00 gamma=60.00
Fractional positions:
Pa1 0.000 0.000 0.000
Cd1 0.500 0.500 0.500
Ni1 0.750 0.750 0.750
Pd1 0.250 0.250 0.250

The space-group type is F-43m. As for the calculated volume: 18.892 Å³/atom. The energy of formation from the pure elements comes out at -291.4 meV/atom. As for the calculated total energy: -5.64 eV per atom. Its total moment is 0.0 μB/f.u.

=====

Record 4
A relaxed PaCdNiPt crystal, computed with PBE-GGA.

Unit cell a=4.754 b=4.754 c=4.754 alpha=60.00 beta=60.00 gamma=60.00
Fractional positions:
Pa1 0.000 0.000 0.000
Cd1 0.500 0.500 0.500
Ni1 0.750 0.750 0.750
Pt1 0.250 0.250 0.250

The space-group type is F-43m. As for the calculated volume: 18.990 Å³/atom. The energy of formation from the pure elements comes out at -457.6 meV/atom. As for the calculated total energy: -6.02 eV per atom. Its total moment is 0.0 μB/f.u.

=====

Record 5
A relaxed PaCdNiRh crystal, computed with PBE-GGA.

Unit cell a=4.702 b=4.702 c=4.702 alpha=60.00 beta=60.00 gamma=60.00
Fractional positions:
Pa1 0.000 0.000 0.000
Cd1 0.500 0.500 0.500
Ni1 0.750 0.750 0.750
Rh1 0.250 0.250 0.250

The space-group type is F-43m. As for the calculated volume: 18.372 Å³/atom. The energy of formation from the pure elements comes out at -328.0 meV/atom. As for the calculated total energy: -6.21 eV per atom. Its total moment is 0.0 μB/f.u.

=====

Record 6
A relaxed Cd2NiPb crystal, computed with PBE-GGA.

Unit cell a=4.962 b=4.962 c=3.718 alpha=90.00 beta=90.00 gamma=110.39
Fractional positions:
Cd1 0.000 0.500 0.000
Cd2 0.500 0.000 0.000
Ni1 0.000 0.000 0.500
Pb1 0.500 0.500 0.500

The space-group type is Cmmm. As for the calculated volume: 21.454 Å³/atom. The energy of formation from the pure elements comes out at 278.3 meV/atom. As for the calculated total energy: -2.55 eV per atom. The energy above the most stable polymorph in this dataset is 80 kJ/mol of formula units. Its total moment is 0.0 μB/f.u.

=====

Record 7
A relaxed CdNi2Pb crystal, computed with PBE-GGA.

Unit cell a=4.006 b=5.239 c=5.239 alpha=39.71 beta=90.00 gamma=90.00
Fractional positions:
Cd1 0.000 0.000 0.000
Ni1 0.000 0.712 0.712
Ni2 0.500 0.571 0.571
Pb1 0.500 0.295 0.295

The space-group type is Amm2. As for the calculated volume: 17.565 Å³/atom. The energy of formation from the pure elements comes out at 140.0 meV/atom. As for the calculated total energy: -3.91 eV per atom. The energy above the most stable polymorph in this dataset is 0 kJ/mol of formula units. Its total moment is 0.0 μB/f.u.

=====

Record 8
A relaxed Cd2NiPb crystal, computed with PBE-GGA.

Unit cell a=9.880 b=9.880 c=9.880 alpha=18.86 beta=18.86 gamma=18.86
Fractional positions:
Cd1 0.232 0.232 0.232
Cd2 0.768 0.768 0.768
Ni1 0.500 0.500 0.500
Pb1 0.000 0.000 0.000

The space-group type is R-3m. As for the calculated volume: 22.010 Å³/atom. The energy of formation from the pure elements comes out at 165.8 meV/atom. As for the calculated total energy: -2.66 eV per atom. The energy above the most stable polymorph in this dataset is 37 kJ/mol of formula units. Its total moment is 0.0 μB/f.u.

=====

Record 9
A relaxed CdNi2Pb crystal, computed with PBE-GGA.

Unit cell a=8.100 b=8.100 c=8.100 alpha=22.98 beta=22.98 gamma=22.98
Fractional positions:
Cd1 0.000 0.000 0.000
Ni1 0.250 0.250 0.250
Ni2 0.750 0.750 0.750
Pb1 0.500 0.500 0.500

The space-group type is R-3m. As for the calculated volume: 17.777 Å³/atom. The energy of formation from the pure elements comes out at 327.1 meV/atom. As for the calculated total energy: -3.72 eV per atom. The energy above the most stable polymorph in this dataset is 72 kJ/mol of formula units. Its total moment is 0.0 μB/f.u.

=====

Record 10
A relaxed Cd2NiPb crystal, computed with PBE-GGA.

Unit cell a=4.931 b=4.931 c=4.931 alpha=60.00 beta=60.00 gamma=60.00
Fractional positions:
Cd1 0.000 0.000 0.000
Cd2 0.250 0.250 0.250
Ni1 0.500 0.500 0.500
Pb1 0.750 0.750 0.750

The space-group type is F-43m. As for the calculated volume: 21.192 Å³/atom. The energy of formation from the pure elements comes out at 290.5 meV/atom. As for the calculated total energy: -2.54 eV per atom. The energy above the most stable polymorph in this dataset is 85 kJ/mol of formula units. Its total moment is 0.0 μB/f.u.

=====

Record 11
A relaxed Cd2NiPb2 crystal, computed with PBE-GGA.

Unit cell a=6.850 b=6.850 c=5.319 alpha=90.00 beta=90.00 gamma=90.00
Fractional positions:
Cd1 0.152 0.348 0.000
Cd2 0.348 0.848 0.000
Cd3 0.652 0.152 0.000
Cd4 0.848 0.652 0.000
Ni1 0.000 0.000 0.000
Ni2 0.500 0.500 0.000
Pb1 0.182 0.682 0.500
Pb2 0.318 0.182 0.500
Pb3 0.682 0.818 0.500
Pb4 0.818 0.318 0.500

The space-group type is P4/mbm. As for the calculated volume: 24.960 Å³/atom. The energy of formation from the pure elements comes out at 256.7 meV/atom. As for the calculated total energy: -2.75 eV per atom. The energy above the most stable polymorph in this dataset is 0 kJ/mol of formula units. Its total moment is 0.0 μB/f.u.

=====

Record 12
A relaxed CdNi2Pb crystal, computed with PBE-GGA.

Unit cell a=5.201 b=5.201 c=4.529 alpha=106.50 beta=106.50 gamma=35.52
Fractional positions:
Cd1 0.000 0.000 0.000
Ni1 0.244 0.244 0.837
Ni2 0.539 0.539 0.534
Pb1 0.783 0.783 0.361

The space-group type is Cm. As for the calculated volume: 16.983 Å³/atom. The energy of formation from the pure elements comes out at 216.8 meV/atom. As for the calculated total energy: -3.83 eV per atom. The energy above the most stable polymorph in this dataset is 30 kJ/mol of formula units. Its total moment is 0.0 μB/f.u.

=====

Record 13
A relaxed Cd4NiPb crystal, computed with PBE-GGA.

Unit cell a=8.065 b=8.065 c=5.699 alpha=109.30 beta=109.30 gamma=51.28
Fractional positions:
Cd1 0.107 0.666 0.394
Cd2 0.205 0.795 0.000
Cd3 0.329 0.329 0.823
Cd4 0.334 0.893 0.606
Cd5 0.666 0.107 0.394
Cd6 0.671 0.671 0.177
Cd7 0.795 0.205 0.000
Cd8 0.893 0.334 0.606
Ni1 0.499 0.499 0.286
Ni2 0.501 0.501 0.714
Pb1 0.206 0.206 0.200
Pb2 0.794 0.794 0.800

The space-group type is C2/m. As for the calculated volume: 22.421 Å³/atom. The energy of formation from the pure elements comes out at 62.1 meV/atom. As for the calculated total energy: -2.13 eV per atom. The energy above the most stable polymorph in this dataset is 0 kJ/mol of formula units. Its total moment is 0.0 μB/f.u.